Record 1
Material: YTi2S
Method: DFT, GGA-PBE
State: optimized geometry

Lattice parameters (Å, degrees): 7.7557 7.7557 5.4162 90.00 90.00 90.00
Closest atoms and distances in Å follow each position.
Sites, in units of the cell vectors:
Y1 0.0000 0.0000 0.0000  2 S 2.71
Y2 0.0000 0.5000 0.2500  2 S 2.71
Y3 0.5000 0.0000 0.7500  2 S 2.71
Y4 0.5000 0.5000 0.5000  2 S 2.71
Ti1 0.1614 0.7500 0.6250  2 S 2.41
Ti2 0.2500 0.1614 0.3750  2 S 2.41
Ti3 0.2500 0.3386 0.8750  2 S 2.41
Ti4 0.3386 0.7500 0.1250  2 S 2.41
Ti5 0.6614 0.2500 0.1250  2 S 2.41
Ti6 0.7500 0.6614 0.8750  2 S 2.41
Ti7 0.7500 0.8386 0.3750  2 S 2.41
Ti8 0.8386 0.2500 0.6250  2 S 2.41
S1 0.0000 0.0000 0.5000  4 Ti 2.41
S2 0.0000 0.5000 0.7500  4 Ti 2.41
S3 0.5000 0.0000 0.2500  4 Ti 2.41
S4 0.5000 0.5000 0.0000  4 Ti 2.41

formation energy (no corrections)	-0.445	eV per atom
Fermi-level density of states	6.6	states/eV/f.u.
theoretical density	4.418	g/cm³
size of the total moment	0.0	μB/f.u.

Record 2
Material: Y3Ti5S12
Method: DFT, GGA-PBE
State: optimized geometry

Lattice parameters (Å, degrees): 13.1028 13.1028 13.1028 109.47 109.47 109.47
Closest atoms and distances in Å follow each position.
Sites, in units of the cell vectors:
Y1 0.1250 0.2500 0.3750  8 S 2.91
Y2 0.1250 0.3750 0.7500  8 S 2.91
Y3 0.2500 0.3750 0.1250  8 S 2.91
Y4 0.2500 0.8750 0.6250  8 S 2.91
Y5 0.3750 0.1250 0.2500  8 S 2.91
Y6 0.3750 0.7500 0.1250  8 S 2.91
Y7 0.6250 0.2500 0.8750  8 S 2.91
Y8 0.6250 0.8750 0.7500  8 S 2.91
Y9 0.7500 0.1250 0.3750  8 S 2.91
Y10 0.7500 0.6250 0.8750  8 S 2.91
Y11 0.8750 0.6250 0.2500  8 S 2.91
Y12 0.8750 0.7500 0.6250  8 S 2.91
Ti1 0.0000 0.0000 0.0000  6 S 2.50
Ti2 0.0000 0.0000 0.5000  6 S 2.50
Ti3 0.0000 0.5000 0.0000  6 S 2.50
Ti4 0.0000 0.5000 0.5000  6 S 2.50
Ti5 0.1250 0.7500 0.8750  4 S 2.30
Ti6 0.1250 0.8750 0.2500  4 S 2.30
Ti7 0.2500 0.1250 0.8750  4 S 2.30
Ti8 0.2500 0.6250 0.3750  4 S 2.30
Ti9 0.3750 0.2500 0.6250  4 S 2.30
Ti10 0.3750 0.6250 0.7500  4 S 2.30
Ti11 0.5000 0.0000 0.0000  6 S 2.50
Ti12 0.5000 0.0000 0.5000  6 S 2.50
Ti13 0.5000 0.5000 0.0000  6 S 2.50
Ti14 0.5000 0.5000 0.5000  6 S 2.50
Ti15 0.6250 0.3750 0.2500  4 S 2.30
Ti16 0.6250 0.7500 0.3750  4 S 2.30
Ti17 0.7500 0.3750 0.6250  4 S 2.30
Ti18 0.7500 0.8750 0.1250  4 S 2.30
Ti19 0.8750 0.1250 0.7500  4 S 2.30
Ti20 0.8750 0.2500 0.1250  4 S 2.30
S1 0.0339 0.2121 0.1228  2 Ti 2.30-2.50
S2 0.0339 0.3218 0.9112  2 Ti 2.30-2.50
S3 0.0888 0.6228 0.4106  2 Ti 2.30-2.50
S4 0.0894 0.7121 0.6782  2 Ti 2.30-2.50
S5 0.0894 0.8772 0.4112  2 Ti 2.30-2.50
S6 0.0888 0.9661 0.6782  2 Ti 2.30-2.50
S7 0.1228 0.0339 0.2121  2 Ti 2.30-2.50
S8 0.1228 0.5888 0.9106  2 Ti 2.30-2.50
S9 0.1782 0.2121 0.5894  2 Ti 2.30-2.50
S10 0.1782 0.4661 0.5888  2 Ti 2.30-2.50
S11 0.2121 0.1228 0.0339  2 Ti 2.30-2.50
S12 0.2121 0.5894 0.1782  2 Ti 2.30-2.50
S13 0.2879 0.3218 0.9106  2 Ti 2.30-2.50
S14 0.2879 0.4661 0.3772  2 Ti 2.30-2.50
S15 0.3218 0.9112 0.0339  2 Ti 2.30-2.50
S16 0.3218 0.9106 0.2879  2 Ti 2.30-2.50
S17 0.3772 0.2879 0.4661  2 Ti 2.30-2.50
S18 0.3772 0.5894 0.9112  2 Ti 2.30-2.50
S19 0.4106 0.0888 0.6228  2 Ti 2.30-2.50
S20 0.4112 0.0894 0.8772  2 Ti 2.30-2.50
S21 0.4112 0.8218 0.5339  2 Ti 2.30-2.50
S22 0.4106 0.8218 0.7879  2 Ti 2.30-2.50
S23 0.4661 0.3772 0.2879  2 Ti 2.30-2.50
S24 0.4661 0.5888 0.1782  2 Ti 2.30-2.50
S25 0.5339 0.4112 0.8218  2 Ti 2.30-2.50
S26 0.5339 0.6228 0.7121  2 Ti 2.30-2.50
S27 0.5894 0.1782 0.2121  2 Ti 2.30-2.50
S28 0.5888 0.1782 0.4661  2 Ti 2.30-2.50
S29 0.5888 0.9106 0.1228  2 Ti 2.30-2.50
S30 0.5894 0.9112 0.3772  2 Ti 2.30-2.50
S31 0.6228 0.4106 0.0888  2 Ti 2.30-2.50
S32 0.6228 0.7121 0.5339  2 Ti 2.30-2.50
S33 0.6782 0.0894 0.7121  2 Ti 2.30-2.50
S34 0.6782 0.0888 0.9661  2 Ti 2.30-2.50
S35 0.7121 0.5339 0.6228  2 Ti 2.30-2.50
S36 0.7121 0.6782 0.0894  2 Ti 2.30-2.50
S37 0.7879 0.4106 0.8218  2 Ti 2.30-2.50
S38 0.7879 0.8772 0.9661  2 Ti 2.30-2.50
S39 0.8218 0.5339 0.4112  2 Ti 2.30-2.50
S40 0.8218 0.7879 0.4106  2 Ti 2.30-2.50
S41 0.8772 0.4112 0.0894  2 Ti 2.30-2.50
S42 0.8772 0.9661 0.7879  2 Ti 2.30-2.50
S43 0.9112 0.0339 0.3218  2 Ti 2.30-2.50
S44 0.9106 0.1228 0.5888  2 Ti 2.30-2.50
S45 0.9106 0.2879 0.3218  2 Ti 2.30-2.50
S46 0.9112 0.3772 0.5894  2 Ti 2.30-2.50
S47 0.9661 0.6782 0.0888  2 Ti 2.30-2.50
S48 0.9661 0.7879 0.8772  2 Ti 2.30-2.50

formation energy (no corrections)	-1.466	eV per atom
Fermi-level density of states	14.2	states/eV/f.u.
theoretical density	3.417	g/cm³
size of the total moment	4.7	μB/f.u.

Record 3
Material: YTiS3
Method: DFT, GGA-PBE
State: optimized geometry

Lattice parameters (Å, degrees): 5.1412 5.1412 5.1412 90.00 90.00 90.00
Closest atoms and distances in Å follow each position.
Sites, in units of the cell vectors:
Y1 0.0000 0.0000 0.0000  6 S 2.57
Ti1 0.5000 0.5000 0.5000  12 S 3.64
S1 0.0000 0.0000 0.5000  2 Y 2.57
S2 0.0000 0.5000 0.0000  2 Y 2.57
S3 0.5000 0.0000 0.0000  2 Y 2.57

formation energy (no corrections)	-0.343	eV per atom
Fermi-level density of states	1.8	states/eV/f.u.
theoretical density	2.847	g/cm³
size of the total moment	1.1	μB/f.u.